[1]
The following is a DFT calculation (PBE) of a relaxed Nd8Ni3SeBr4 crystal.

Its calculated total energy is -0.3723 Ry/atom. The density comes out at 6.42 g/cm³. As for the space-group type: No. 166. For the volume, the calculation gives 27.95 Å³ per atom.

a b c (Å): 8.9195 8.9195 8.9195
angles (deg): 55.32 55.32 55.32
Last column: nearest neighbours and their distance in Å.
Element x y z (fractional)
Nd 0.2207 0.7427 0.7427  2 Ni 2.81, 1 Se 2.94
Nd 0.2303 0.2303 0.2303  3 Ni 2.79
Nd 0.2573 0.2573 0.7793  2 Ni 2.81, 1 Se 2.94
Nd 0.2573 0.7793 0.2573  2 Ni 2.81, 1 Se 2.94
Nd 0.7427 0.2207 0.7427  2 Ni 2.81, 1 Se 2.94
Nd 0.7427 0.7427 0.2207  2 Ni 2.81, 1 Se 2.94
Nd 0.7697 0.7697 0.7697  3 Ni 2.79
Nd 0.7793 0.2573 0.2573  2 Ni 2.81, 1 Se 2.94
Ni 0.0000 0.0000 0.5000  6 Nd 2.79-2.81
Ni 0.0000 0.5000 0.0000  6 Nd 2.79-2.81
Ni 0.5000 0.0000 0.0000  6 Nd 2.79-2.81
Se 0.5000 0.5000 0.5000  6 Nd 2.94
Br 0.0000 0.0000 0.0000  6 Nd 3.18
Br 0.0000 0.5000 0.5000  6 Nd 3.30-3.34
Br 0.5000 0.0000 0.5000  6 Nd 3.30-3.34
Br 0.5000 0.5000 0.0000  6 Nd 3.30-3.34

[2]
The following is a DFT calculation (PBE) of a relaxed YAlSe2 crystal.

Its calculated total energy is -0.3944 Ry/atom. The density comes out at 4.75 g/cm³. As for the space-group type: No. 123. For the volume, the calculation gives 23.94 Å³ per atom.

a b c (Å): 4.0693 4.0693 5.7834
angles (deg): 90.00 90.00 90.00
Last column: nearest neighbours and their distance in Å.
Element x y z (fractional)
Y 0.0000 0.0000 0.0000  6 Se 2.88-2.89
Al 0.5000 0.5000 0.5000  6 Se 2.88-2.89
Se 0.0000 0.0000 0.5000  4 Al 2.88, 2 Y 2.89
Se 0.5000 0.5000 0.0000  4 Y 2.88, 2 Al 2.89

[3]
The following is a DFT calculation (PBE) of a relaxed ReRu2Pb crystal.

Its calculated total energy is -0.5802 Ry/atom. The density comes out at 15.03 g/cm³. As for the space-group type: No. 216. For the volume, the calculation gives 16.45 Å³ per atom.

a b c (Å): 4.5318 4.5318 4.5318
angles (deg): 60.00 60.00 60.00
Last column: nearest neighbours and their distance in Å.
Element x y z (fractional)
Re 0.0000 0.0000 0.0000  4 Pb 2.78, 4 Ru 2.78
Ru 0.2500 0.2500 0.2500  4 Re 2.78, 4 Ru 2.78
Ru 0.5000 0.5000 0.5000  4 Pb 2.78, 4 Ru 2.78
Pb 0.7500 0.7500 0.7500  4 Re 2.78, 4 Ru 2.78

[4]
The following is a DFT calculation (PBE) of a relaxed CeMg2Hg crystal.

The density comes out at 6.85 g/cm³. As for the space-group type: No. 225. For the volume, the calculation gives 23.60 Å³ per atom. As for the polymorph energy (0 for the lowest one): 108.6 meV/atom.

a b c (Å): 5.1111 5.1111 5.1111
angles (deg): 60.00 60.00 60.00
Last column: nearest neighbours and their distance in Å.
Element x y z (fractional)
Ce 0.0000 0.0000 0.0000  8 Mg 3.13
Mg 0.2500 0.2500 0.2500  4 Hg 3.13, 4 Ce 3.13
Mg 0.7500 0.7500 0.7500  4 Hg 3.13, 4 Ce 3.13
Hg 0.5000 0.5000 0.5000  8 Mg 3.13

[5]
The following is a DFT calculation (PBE) of a relaxed Mg8CdHg3 crystal.

Its calculated total energy is -0.0959 Ry/atom. The density comes out at 5.05 g/cm³. As for the space-group type: No. 69. For the volume, the calculation gives 24.89 Å³ per atom.

a b c (Å): 8.1740 8.1030 6.7267
angles (deg): 66.14 65.04 48.82
Last column: nearest neighbours and their distance in Å.
Element x y z (fractional)
Mg 0.1202 0.6243 0.8798  3 Hg 2.88-2.90, 1 Cd 2.91
Mg 0.1244 0.6279 0.3721  3 Hg 2.88-2.90, 1 Cd 2.93
Mg 0.3721 0.8756 0.1244  3 Hg 2.88-2.90, 1 Cd 2.93
Mg 0.3757 0.8798 0.6243  3 Hg 2.88-2.90, 1 Cd 2.91
Mg 0.6243 0.1202 0.3757  3 Hg 2.88-2.90, 1 Cd 2.91
Mg 0.6279 0.1244 0.8756  3 Hg 2.88-2.90, 1 Cd 2.93
Mg 0.8756 0.3721 0.6279  3 Hg 2.88-2.90, 1 Cd 2.93
Mg 0.8798 0.3757 0.1202  3 Hg 2.88-2.90, 1 Cd 2.91
Cd 0.5000 0.5000 0.5000  8 Mg 2.91-2.93
Hg 0.0000 0.0000 0.0000  8 Mg 2.88-2.90
Hg 0.2500 0.2500 0.2500  8 Mg 2.88-2.90
Hg 0.7500 0.7500 0.7500  8 Mg 2.88-2.90

[6]
The following is a DFT calculation (PBE) of a relaxed CdReP2Cl crystal.

The density comes out at 5.33 g/cm³. As for the space-group type: No. 123. For the volume, the calculation gives 24.68 Å³ per atom. As for the polymorph energy (0 for the lowest one): 1390.4 meV/atom.

a b c (Å): 4.9746 4.9746 4.9868
angles (deg): 90.00 90.00 90.00
Last column: nearest neighbours and their distance in Å.
Element x y z (fractional)
Cd 0.0000 0.0000 0.0000  4 P 2.49, 2 Cl 2.49
Re 0.5000 0.5000 0.5000  4 Cl 3.52, 8 P 3.52
P 0.0000 0.5000 0.0000  2 Cd 2.49
P 0.5000 0.0000 0.0000  2 Cd 2.49
Cl 0.0000 0.0000 0.5000  2 Cd 2.49

Copy entry 4 word for word.
The following is a DFT calculation (PBE) of a relaxed CeMg2Hg crystal.

The density comes out at 6.85 g/cm³. As for the space-group type: No. 225. For the volume, the calculation gives 23.60 Å³ per atom. As for the polymorph energy (0 for the lowest one): 108.6 meV/atom.

a b c (Å): 5.1111 5.1111 5.1111
angles (deg): 60.00 60.00 60.00
Last column: nearest neighbours and their distance in Å.
Element x y z (fractional)
Ce 0.0000 0.0000 0.0000  8 Mg 3.13
Mg 0.2500 0.2500 0.2500  4 Hg 3.13, 4 Ce 3.13
Mg 0.7500 0.7500 0.7500  4 Hg 3.13, 4 Ce 3.13
Hg 0.5000 0.5000 0.5000  8 Mg 3.13

Q: volume of number 2 (YAlSe2)?
A: 23.94 Å³ per atom